[1]
An optimized crystal structure of BeBrF3, computed with GGA-PBE.

**Raw formation energy**: -1414 meV per atom
**Energy above the most stable polymorph in this dataset**: 0.0000 eV per atom

abc: 3.809 3.809 3.809
angles: 90.00 90.00 90.00
Last column: magnetic moment on the atom in μB.
Atoms (fractional coordinates):
Br  0.500  0.500  0.500  1.17
F  0.500  0.000  0.000  0.19
Be  0.000  0.000  0.000  -0.01
F  0.000  0.000  0.500  0.24
F  0.000  0.500  0.000  0.12

=====

[2]
An optimized crystal structure of RbMg2Pd, computed with GGA-PBE.

**Energy above the most stable polymorph in this dataset**: 0.0000 eV per atom
**Formation energy from the elements**: 0.038 eV per atom

abc: 6.206 6.206 9.183
angles: 70.25 70.25 90.00
Atoms (fractional coordinates):
Pd  0.000  0.000  0.000
Mg  0.375  0.125  0.750
Mg  0.875  0.125  0.250
Mg  0.875  0.125  0.750
Mg  0.875  0.625  0.250
Rb  0.250  0.750  0.500
Pd  0.750  0.250  0.500
Rb  0.500  0.500  0.000

=====

[3]
An optimized crystal structure of Na2PmErTe4, computed with GGA-PBE.

**Raw formation energy**: -1314 meV per atom

abc: 4.462 7.728 7.994
angles: 108.78 90.00 90.00
Atoms (fractional coordinates):
Te  0.000  0.248  0.764
Te  0.500  0.237  0.232
Na  0.500  0.000  0.500
Te  0.500  0.763  0.768
Pm  0.500  0.500  0.000
Er  0.000  0.000  0.000
Na  0.000  0.500  0.500
Te  0.000  0.752  0.236

=====

[4]
An optimized crystal structure of Sc3Ru4W, computed with GGA-PBE.

**Formation energy from the elements**: -0.451 eV per atom

abc: 3.167 3.167 12.890
angles: 90.00 90.00 90.00
Atoms (fractional coordinates):
Sc  0.500  0.500  0.255
Sc  0.500  0.500  0.500
Ru  0.000  0.000  0.628
W  0.500  0.500  0.000
Ru  0.000  0.000  0.884
Ru  0.000  0.000  0.372
Sc  0.500  0.500  0.745
Ru  0.000  0.000  0.116